## HfZrTiNb (PBE)

Data for a geometry-optimized HfZrTiNb structure.

Cell lengths 6.862, 6.862, 6.862 Å; angles 90.00, 90.00, 90.00 degrees
Space group F-43m (No. 216)
Inequivalent atoms, fractional coordinates:
1 Hf 0.000 0.000 0.000 [4 per cell]
2 Zr 0.000 0.000 0.500 [4 per cell]
3 Ti 0.250 0.250 0.750 [4 per cell]
4 Nb 0.250 0.250 0.250 [4 per cell]

Results
The volume comes out at 323.1 Å³ per cell. The energy is -9.0199 eV/atom. As for the magnetic moment: 1.3 μB per formula unit. The value obtained for the density of states at the Fermi level is 28.349 states/eV/cell.

## HfZrTiNb (PBE)

Data for a geometry-optimized HfZrTiNb structure.

Cell lengths 3.383, 3.383, 7.031 Å; angles 90.00, 90.00, 90.00 degrees
Space group P4mm (No. 99)
Inequivalent atoms, fractional coordinates:
1 Hf 0.000 0.000 0.000 [1 per cell]
2 Zr 0.500 0.500 0.710 [1 per cell]
3 Ti 0.500 0.500 0.259 [1 per cell]
4 Nb 0.000 0.000 0.454 [1 per cell]

Results
The volume comes out at 80.5 Å³ per cell. The energy is -9.0581 eV/atom. As for the magnetic moment: 0.0 μB per formula unit. The value obtained for the density of states at the Fermi level is 6.558 states/eV/cell.

## HfNb3Tl (PBE)

Data for a geometry-optimized HfNb3Tl structure.

Cell lengths 4.956, 4.956, 4.956 Å; angles 90.00, 90.00, 90.00 degrees
Space group Pm-3m (No. 221)
Inequivalent atoms, fractional coordinates:
1 Hf 0.000 0.000 0.000 [1 per cell]
2 Nb 0.000 0.000 0.500 [3 per cell]
3 Tl 0.500 0.500 0.500 [1 per cell]

Results
The volume comes out at 121.7 Å³ per cell. The energy is -7.0132 eV/atom. As for the magnetic moment: 0.0 μB per formula unit. The value obtained for the density of states at the Fermi level is 6.029 states/eV/cell.

## HfNbTl3 (PBE)

Data for a geometry-optimized HfNbTl3 structure.

Cell lengths 5.381, 5.381, 5.381 Å; angles 90.00, 90.00, 90.00 degrees
Space group Pm-3m (No. 221)
Inequivalent atoms, fractional coordinates:
1 Hf 0.000 0.000 0.000 [1 per cell]
2 Nb 0.500 0.500 0.500 [1 per cell]
3 Tl 0.000 0.500 0.500 [3 per cell]

Results
The volume comes out at 155.8 Å³ per cell. The energy is -4.2653 eV/atom. As for the magnetic moment: 0.0 μB per formula unit. The value obtained for the density of states at the Fermi level is 4.131 states/eV/cell.